## Pu5PaRh3 (GGA-PBE)

Data for a relaxed structure of Pu5PaRh3.

Cell and atoms, written as POSCAR:
```
Pu5PaRh3
1.0
6.5715 -3.7652 0.0000
6.5715 3.7652 0.0000
-1.2458 0.0000 8.9974
Pu Pa Rh
10 2 6
Direct
0.0261 0.0261 0.3514
0.1284 0.5628 0.3150
0.1726 0.8274 0.0000
0.2607 0.2607 0.9413
0.4372 0.8716 0.6850
0.5628 0.1284 0.3150
0.7393 0.7393 0.0587
0.8274 0.1726 0.0000
0.8716 0.4372 0.6850
0.9739 0.9739 0.6486
0.3882 0.3882 0.7142
0.6118 0.6118 0.2858
0.1807 0.1807 0.1868
0.2266 0.2266 0.5151
0.5000 0.5000 0.0000
0.5000 0.5000 0.5000
0.7734 0.7734 0.4849
0.8193 0.8193 0.8132
```

Output
DFT formation energy (meV/atom): -80
Spin magnetization (μB/atom): 1.95
Space-group type: C2/m, No. 12
Calculated total energy (eV per atom): -11.5478

## PuPa6Rh5 (GGA-PBE)

Data for a relaxed structure of PuPa6Rh5.

Cell and atoms, written as POSCAR:
```
PuPa6Rh5
1.0
2.2535 -7.5507 0.0000
2.2535 7.5507 0.0000
0.0000 0.0000 7.2347
Pu Pa Rh
1 6 5
Direct
0.0000 0.0000 0.0000
0.1826 0.8174 0.2710
0.1826 0.8174 0.7290
0.5000 0.5000 0.2336
0.5000 0.5000 0.7664
0.8174 0.1826 0.2710
0.8174 0.1826 0.7290
0.0000 0.0000 0.5000
0.3277 0.6723 0.0000
0.3609 0.6391 0.5000
0.6391 0.3609 0.5000
0.6723 0.3277 0.0000
```

Output
DFT formation energy (meV/atom): -516
Spin magnetization (μB/atom): 0.46
Space-group type: Cmmm, No. 65
Calculated total energy (eV per atom): -9.5214

## PuPaRuRh (GGA-PBE)

Data for a relaxed structure of PuPaRuRh.

Cell and atoms, written as POSCAR:
```
PuPaRuRh
1.0
0.0000 3.4199 3.4199
3.4199 0.0000 3.4199
3.4199 3.4199 0.0000
Pu Pa Ru Rh
1 1 1 1
Direct
0.0000 0.0000 0.0000
0.5000 0.5000 0.5000
0.2500 0.2500 0.2500
0.7500 0.7500 0.7500
```

Output
DFT formation energy (meV/atom): -406
Spin magnetization (μB/atom): 1.32
Space-group type: F-43m, No. 216
Calculated total energy (eV per atom): -10.5198